(1)
{"formula": "Hf3VSe", "functional": "GGA-PBE", "state": "relaxed", "final_energy_ev_per_atom": -8.109, "e_form_raw_ev_per_atom": 0.3832, "lattice_angstrom": [[4.902, 0.000, 0.000], [0.000, 4.902, 0.000], [0.000, 0.000, 4.902]], "species": ["V", "Hf", "Hf", "Hf", "Se"], "fractional_positions": [[0.500, 0.500, 0.500], [0.000, 0.500, 0.000], [0.500, 0.000, 0.000], [0.000, 0.000, 0.500], [0.000, 0.000, 0.000]]}



(2)
{"formula": "HfVSe3", "functional": "GGA-PBE", "state": "relaxed", "final_energy_ev_per_atom": -6.751, "e_form_raw_ev_per_atom": -0.8461, "lattice_angstrom": [[-1.675, -2.810, -1.608], [5.795, -3.327, -0.222], [-3.541, -2.812, 8.600]], "species": ["V", "V", "Hf", "Hf", "Se", "Se", "Se", "Se", "Se", "Se"], "fractional_positions": [[0.250, 0.091, 0.105], [0.750, 0.909, 0.895], [0.750, 0.722, 0.440], [0.250, 0.278, 0.560], [0.250, 0.736, 0.981], [0.250, 0.954, 0.338], [0.750, 0.046, 0.662], [0.750, 0.559, 0.673], [0.750, 0.264, 0.019], [0.250, 0.441, 0.327]]}



(3)
{"formula": "HfVSe3", "functional": "GGA-PBE", "state": "relaxed", "final_energy_ev_per_atom": -5.887, "e_form_raw_ev_per_atom": 0.0182, "lattice_angstrom": [[-4.125, 2.153, 1.208], [-2.275, -4.228, -0.234], [0.958, -0.772, 4.647]], "species": ["V", "Se", "Se", "Se", "Hf"], "fractional_positions": [[0.000, 0.000, 0.000], [0.000, 0.500, 0.000], [0.500, 0.000, 0.000], [0.000, 0.000, 0.500], [0.500, 0.500, 0.500]]}



(4)
{"formula": "Hf2VSe", "functional": "GGA-PBE", "state": "relaxed", "final_energy_ev_per_atom": -7.907, "e_form_raw_ev_per_atom": 0.2204, "lattice_angstrom": [[3.175, 0.000, 0.000], [1.588, 2.750, 0.000], [1.588, 0.917, 9.259]], "species": ["V", "Hf", "Hf", "Se"], "fractional_positions": [[0.000, 0.000, 0.000], [0.094, 0.094, 0.718], [0.906, 0.906, 0.282], [0.500, 0.500, 0.500]]}